(1)
Material: TbCeZr2
Method: DFT, GGA-PBE
State: optimized geometry

Values from the calculation:
The value obtained for the energy above the lowest structure with this stoichiometry is 0.000 eV per atom. The spin magnetization is 0.000 μB per formula unit. The value obtained for the energy of formation from the pure elements is 0.124 eV per atom.

Lattice parameters (Å, degrees): 3.3135 3.3135 11.1290 98.55 98.55 60.06
Element x y z (fractional)
Tb 0.0000 0.0000 0.0000
Ce 0.1671 0.1671 0.5011
Zr 0.4189 0.4189 0.2541
Zr 0.5843 0.5843 0.7494

=====

(2)
Material: GaB2Ru2
Method: DFT, GGA-PBE
State: optimized geometry

Values from the calculation:
The value obtained for the energy above the lowest structure with this stoichiometry is 0.188 eV per atom. The spin magnetization is 0.000 μB per formula unit. The value obtained for the energy of formation from the pure elements is -0.090 eV per atom.

Lattice parameters (Å, degrees): 6.1416 6.1416 2.8118 90.00 90.00 90.00
Element x y z (fractional)
Ga 0.0000 0.0000 0.0000
Ga 0.5000 0.5000 0.0000
B 0.1195 0.3805 0.0000
B 0.3805 0.8805 0.0000
B 0.6195 0.1195 0.0000
B 0.8805 0.6195 0.0000
Ru 0.1647 0.6647 0.5000
Ru 0.3353 0.1647 0.5000
Ru 0.6647 0.8353 0.5000
Ru 0.8353 0.3353 0.5000

=====

(3)
Material: Sm6TlRh
Method: DFT, GGA-PBE
State: optimized geometry

Values from the calculation:
The spin magnetization is 0.000 μB per formula unit. The value obtained for the energy of formation from the pure elements is -0.118 eV per atom.

Lattice parameters (Å, degrees): 6.5456 6.5456 6.5691 99.11 99.11 104.60
Element x y z (fractional)
Sm 0.0668 0.6904 0.7108
Sm 0.2815 0.2815 0.8447
Sm 0.3096 0.9332 0.2892
Sm 0.6904 0.0668 0.7108
Sm 0.7185 0.7185 0.1553
Sm 0.9332 0.3096 0.2892
Tl 0.5000 0.5000 0.5000
Rh 0.0000 0.0000 0.0000

=====

(4)
Material: VP2W
Method: DFT, GGA-PBE
State: optimized geometry

Values from the calculation:
The value obtained for the energy above the lowest structure with this stoichiometry is 0.334 eV per atom. The spin magnetization is 1.305 μB per formula unit. The value obtained for the energy of formation from the pure elements is -0.290 eV per atom.

Lattice parameters (Å, degrees): 4.2233 4.2233 4.2233 60.00 60.00 60.00
Element x y z (fractional)
V 0.0000 0.0000 0.0000
P 0.2500 0.2500 0.2500
P 0.7500 0.7500 0.7500
W 0.5000 0.5000 0.5000

=====

(5)
Material: Pm2Al2Ag5
Method: DFT, GGA-PBE
State: optimized geometry

Values from the calculation:
The spin magnetization is 0.000 μB per formula unit. The value obtained for the energy of formation from the pure elements is -0.200 eV per atom.

Lattice parameters (Å, degrees): 4.6688 4.6688 8.8574 90.00 90.00 90.00
Element x y z (fractional)
Pm 0.0000 0.0000 0.0000
Pm 0.0000 0.0000 0.5000
Al 0.5000 0.5000 0.1461
Al 0.5000 0.5000 0.8539
Ag 0.0000 0.5000 0.2731
Ag 0.0000 0.5000 0.7269
Ag 0.5000 0.0000 0.2731
Ag 0.5000 0.0000 0.7269
Ag 0.5000 0.5000 0.5000

=====

(6)
Material: CrIr2Rh
Method: DFT, GGA-PBE
State: optimized geometry

Values from the calculation:
The spin magnetization is 1.460 μB per formula unit. The value obtained for the energy of formation from the pure elements is -0.119 eV per atom.

Lattice parameters (Å, degrees): 4.6494 4.6494 2.7235 90.00 90.00 108.98
Element x y z (fractional)
Cr 0.0000 0.0000 0.0000
Ir 0.0000 0.5000 0.5000
Ir 0.5000 0.0000 0.5000
Rh 0.5000 0.5000 0.0000

=====

(7)
Material: TcPIrCl2
Method: DFT, GGA-PBE
State: optimized geometry

Values from the calculation:
The value obtained for the energy above the lowest structure with this stoichiometry is 0.000 eV per atom. The spin magnetization is 4.395 μB per formula unit. As for the energy relative to the elements, uncorrected: 927 meV per atom.

Lattice parameters (Å, degrees): 4.9311 4.9311 4.5324 90.00 90.00 90.00
Element x y z (fractional)
Tc 0.0000 0.0000 0.0000
P 0.5000 0.5000 0.0000
Ir 0.5000 0.5000 0.5000
Cl 0.0000 0.5000 0.5000
Cl 0.5000 0.0000 0.5000

=====

(8)
Material: Pm6Al5Hg
Method: DFT, GGA-PBE
State: optimized geometry

Values from the calculation:
The spin magnetization is 0.000 μB per formula unit. The value obtained for the energy of formation from the pure elements is -0.375 eV per atom.

Lattice parameters (Å, degrees): 8.3351 8.3351 7.4482 90.00 90.00 143.11
Element x y z (fractional)
Pm 0.0000 0.0000 0.2480
Pm 0.0000 0.0000 0.7520
Pm 0.3323 0.6677 0.2486
Pm 0.3323 0.6677 0.7514
Pm 0.6677 0.3323 0.2486
Pm 0.6677 0.3323 0.7514
Al 0.1661 0.8339 0.0000
Al 0.1659 0.8341 0.5000
Al 0.5000 0.5000 0.0000
Al 0.8339 0.1661 0.0000
Al 0.8341 0.1659 0.5000
Hg 0.5000 0.5000 0.5000

=====

(9)
Material: PaSnSe
Method: DFT, GGA-PBE
State: optimized geometry

Values from the calculation:
The value obtained for the energy above the lowest structure with this stoichiometry is 0.000 eV per atom. The spin magnetization is 0.736 μB per formula unit. As for the energy relative to the elements, uncorrected: -894 meV per atom.

Lattice parameters (Å, degrees): 9.1284 9.1284 9.1284 153.85 153.85 37.32
Element x y z (fractional)
Pa 0.1481 0.1481 0.0000
Pa 0.8519 0.8519 0.0000
Sn 0.0000 0.5000 0.5000
Sn 0.5000 0.0000 0.5000
Se 0.3180 0.3180 0.0000
Se 0.6820 0.6820 0.0000

=====

(10)
Material: Zn2TeP
Method: DFT, GGA-PBE
State: optimized geometry

Values from the calculation:
The value obtained for the energy above the lowest structure with this stoichiometry is 0.171 eV per atom. The spin magnetization is 0.000 μB per formula unit. As for the energy relative to the elements, uncorrected: 0 meV per atom.

Lattice parameters (Å, degrees): 3.5670 3.5670 6.8805 90.00 90.00 90.00
Element x y z (fractional)
Zn 0.0000 0.0000 0.0000
Zn 0.5000 0.5000 0.4033
Te 0.5000 0.5000 0.8134
P 0.0000 0.0000 0.3364

=====

(11)
Material: Pm2H5Rh2
Method: DFT, GGA-PBE
State: optimized geometry

Values from the calculation:
The spin magnetization is 0.000 μB per formula unit. The raw total energy is -5.134 eV per atom.

Lattice parameters (Å, degrees): 8.3030 8.3030 8.3030 143.49 52.63 143.43
Element x y z (fractional)
Pm 0.1294 0.9998 0.1297
Pm 0.3701 0.9998 0.3703
Pm 0.6299 0.0002 0.6297
Pm 0.8706 0.0002 0.8703
H 0.0000 0.0000 0.5000
H 0.0000 0.5000 0.0000
H 0.1382 0.5116 0.6266
H 0.2517 0.0000 0.7517
H 0.2517 0.5000 0.2517
H 0.3850 0.5116 0.8734
H 0.6150 0.4884 0.1266
H 0.7483 0.0000 0.2483
H 0.7483 0.5000 0.7483
H 0.8618 0.4884 0.3734
Rh 0.0000 0.5000 0.5000
Rh 0.2738 0.5238 0.7500
Rh 0.5000 0.5000 0.0000
Rh 0.7262 0.4762 0.2500

=====

(12)
Material: Fe2Co2Au
Method: DFT, GGA-PBE
State: optimized geometry

Values from the calculation:
The value obtained for the energy above the lowest structure with this stoichiometry is 0.000 eV per atom. The spin magnetization is 8.287 μB per formula unit. The value obtained for the energy of formation from the pure elements is 0.139 eV per atom.

Lattice parameters (Å, degrees): 6.8597 6.8597 2.7389 90.00 90.00 90.00
Element x y z (fractional)
Fe 0.1594 0.3406 0.0000
Fe 0.3406 0.8406 0.0000
Fe 0.6594 0.1594 0.0000
Fe 0.8406 0.6594 0.0000
Co 0.1325 0.6325 0.5000
Co 0.3675 0.1325 0.5000
Co 0.6325 0.8675 0.5000
Co 0.8675 0.3675 0.5000
Au 0.0000 0.0000 0.5000
Au 0.5000 0.5000 0.5000

=====

(13)
Material: CsCdW2
Method: DFT, GGA-PBE
State: optimized geometry

Values from the calculation:
The spin magnetization is 0.006 μB per formula unit. The value obtained for the energy of formation from the pure elements is 1.939 eV per atom.

Lattice parameters (Å, degrees): 11.1839 11.1839 11.1839 157.47 157.47 32.08
Element x y z (fractional)
Cs 0.0000 0.0000 0.0000
Cs 0.7500 0.2500 0.5000
Cd 0.2500 0.7500 0.5000
Cd 0.5000 0.5000 0.0000
W 0.2189 0.6250 0.0939
W 0.3750 0.4689 0.5939
W 0.5311 0.1250 0.9061
W 0.8750 0.7811 0.4061

=====

(14)
Material: Ac4CoAg
Method: DFT, GGA-PBE
State: optimized geometry

Values from the calculation:
The value obtained for the energy above the lowest structure with this stoichiometry is 0.000 eV per atom. The spin magnetization is 0.000 μB per formula unit. The value obtained for the energy of formation from the pure elements is -0.055 eV per atom.

Lattice parameters (Å, degrees): 9.2102 9.2102 7.2325 108.25 108.25 116.74
Element x y z (fractional)
Ac 0.0555 0.6468 0.8516
Ac 0.1936 0.2822 0.7234
Ac 0.2822 0.1936 0.2234
Ac 0.3532 0.9445 0.6484
Ac 0.6468 0.0555 0.3516
Ac 0.7178 0.8064 0.7766
Ac 0.8064 0.7178 0.2766
Ac 0.9445 0.3532 0.1484
Co 0.0747 0.9253 0.7500
Co 0.9253 0.0747 0.2500
Ag 0.3802 0.6198 0.2500
Ag 0.6198 0.3802 0.7500

=====

(15)
Material: YIrPb3
Method: DFT, GGA-PBE
State: optimized geometry

Values from the calculation:
The value obtained for the energy above the lowest structure with this stoichiometry is 0.000 eV per atom. The spin magnetization is 0.000 μB per formula unit. The value obtained for the energy of formation from the pure elements is 0.303 eV per atom.

Lattice parameters (Å, degrees): 5.3378 5.3378 5.3378 90.00 90.00 90.00
Element x y z (fractional)
Y 0.0000 0.0000 0.0000
Ir 0.5000 0.5000 0.5000
Pb 0.0000 0.5000 0.5000
Pb 0.5000 0.0000 0.5000
Pb 0.5000 0.5000 0.0000

=====

(16)
Material: SrNi2P
Method: DFT, GGA-PBE
State: optimized geometry

Values from the calculation:
The spin magnetization is 0.000 μB per formula unit. The value obtained for the energy of formation from the pure elements is 0.061 eV per atom.

Lattice parameters (Å, degrees): 3.0523 3.0523 7.0291 90.00 90.00 90.00
Element x y z (fractional)
Sr 0.0000 0.0000 0.0000
Ni 0.5000 0.5000 0.3302
Ni 0.5000 0.5000 0.6698
P 0.0000 0.0000 0.5000

=====

(17)
Material: Ac2Nd3YSe6
Method: DFT, GGA-PBE
State: optimized geometry

Values from the calculation:
The spin magnetization is 0.000 μB per formula unit. As for the energy relative to the elements, uncorrected: -1819 meV per atom.

Lattice parameters (Å, degrees): 7.4433 7.4433 7.4172 99.68 99.68 120.15
Element x y z (fractional)
Ac 0.1655 0.8345 0.0000
Ac 0.8345 0.1655 0.0000
Nd 0.0000 0.0000 0.5000
Nd 0.3263 0.6737 0.5000
Nd 0.6737 0.3263 0.5000
Y 0.5000 0.5000 0.0000
Se 0.0982 0.4169 0.7478
Se 0.2694 0.2694 0.2598
Se 0.4169 0.0982 0.7478
Se 0.5831 0.9018 0.2522
Se 0.7306 0.7306 0.7402
Se 0.9018 0.5831 0.2522

=====

(18)
Material: CrTcAu
Method: DFT, GGA-PBE
State: optimized geometry

Values from the calculation:
The value obtained for the energy above the lowest structure with this stoichiometry is 0.090 eV per atom. The spin magnetization is 0.000 μB per formula unit. The value obtained for the energy of formation from the pure elements is 0.333 eV per atom.

Lattice parameters (Å, degrees): 6.9875 6.7964 2.7154 82.62 74.71 22.67
Element x y z (fractional)
Cr 0.0000 0.0000 0.0000
Tc 0.3625 0.3625 0.6375
Au 0.6741 0.6741 0.3259

=====

(19)
Material: AlTcRu2
Method: DFT, GGA-PBE
State: optimized geometry

Values from the calculation:
The value obtained for the energy above the lowest structure with this stoichiometry is 0.209 eV per atom. The spin magnetization is 0.000 μB per formula unit. The value obtained for the energy of formation from the pure elements is -0.096 eV per atom.

Lattice parameters (Å, degrees): 8.7620 8.7620 8.7620 18.13 18.13 18.13
Element x y z (fractional)
Al 0.0000 0.0000 0.0000
Tc 0.2480 0.2480 0.2480
Ru 0.4998 0.4998 0.4998
Ru 0.7479 0.7479 0.7479

=====

(20)
Material: Tb7Dy2Er3
Method: DFT, GGA-PBE
State: optimized geometry

Values from the calculation:
The value obtained for the energy above the lowest structure with this stoichiometry is 0.070 eV per atom. The spin magnetization is 0.000 μB per formula unit. The value obtained for the energy of formation from the pure elements is 0.088 eV per atom.

Lattice parameters (Å, degrees): 5.7483 3.5591 18.5803 90.00 93.67 90.00
Element x y z (fractional)
Tb 0.0000 0.0000 0.0000
Tb 0.1818 0.5000 0.1796
Tb 0.2581 0.5000 0.5363
Tb 0.3207 0.0000 0.8564
Tb 0.6793 0.0000 0.1436
Tb 0.7419 0.5000 0.4637
Tb 0.8182 0.5000 0.8204
Dy 0.2937 0.5000 0.7045
Dy 0.7063 0.5000 0.2955
Er 0.2191 0.0000 0.3678
Er 0.5000 0.5000 0.0000
Er 0.7809 0.0000 0.6322